(1)
# ZrW (PBE, optimized geometry)
# Crystal system   hexagonal
# ρ   12.0 g/cm3
# Formation energy   0.4722 eV/atom
# D(E_F)   2.303 states/eV per cell
data_ZrW
_space_group_name_H-M_alt 'P -6 m 2'
_space_group_IT_number 187
_space_group_name_Hall 'P -6 2'
_cell_length_a 2.8766
_cell_length_b 2.8766
_cell_length_c 5.3113
_cell_angle_alpha 90.00
_cell_angle_beta 90.00
_cell_angle_gamma 120.00
loop_
_atom_site_label
_atom_site_type_symbol
_atom_site_fract_x
_atom_site_fract_y
_atom_site_fract_z
Zr1 Zr 0.0000 0.0000 0.0000
W1 W 0.6667 0.3333 0.5000



(2)
# LiDy3Hg12 (PBE, optimized geometry)
# Crystal system   tetragonal
# ρ   12.6 g/cm3
# Formation energy   -0.2897 eV/atom
# D(E_F)   7.861 states/eV per cell
data_LiDy3Hg12
_space_group_name_H-M_alt 'P 4/m m m'
_space_group_IT_number 123
_space_group_name_Hall '-P 4 2'
_cell_length_a 4.542
_cell_length_b 4.542
_cell_length_c 18.525
_cell_angle_alpha 90.00
_cell_angle_beta 90.00
_cell_angle_gamma 90.00
loop_
_atom_site_label
_atom_site_type_symbol
_atom_site_fract_x
_atom_site_fract_y
_atom_site_fract_z
Li1 Li 0.000 0.000 0.000
Dy1 Dy 0.000 0.000 0.239
Dy2 Dy 0.000 0.000 0.500
Hg1 Hg 0.000 0.500 0.118
Hg2 Hg 0.000 0.500 0.372
Hg3 Hg 0.500 0.500 0.000
Hg4 Hg 0.500 0.500 0.246
Hg5 Hg 0.500 0.500 0.500



(3)
# Hg2PtSe (PBE, optimized geometry)
# E_form (uncorrected)   0.075 eV per atom
# Polymorph energy (0 for the lowest one)   0.124 eV/atom
# Crystal system   orthorhombic
# ρ   11.6 g/cm3
# D(E_F)   3.897 states/eV per cell
data_Hg2PtSe
_space_group_name_H-M_alt 'I m m 2'
_space_group_IT_number 44
_cell_length_a 3.170
_cell_length_b 6.356
_cell_length_c 9.559
_cell_angle_alpha 90.00
_cell_angle_beta 90.00
_cell_angle_gamma 90.00
loop_
_space_group_symop_operation_xyz
'x,y,z'
'-x,-y,z'
'-x,y,z'
'x,-y,z'
'x+1/2,y+1/2,z+1/2'
'-x+1/2,-y+1/2,z+1/2'
'-x+1/2,y+1/2,z+1/2'
'x+1/2,-y+1/2,z+1/2'
loop_
_atom_site_label
_atom_site_type_symbol
_atom_site_fract_x
_atom_site_fract_y
_atom_site_fract_z
Hg1 Hg 0.000 0.000 0.000
Hg2 Hg 0.000 0.500 0.227
Pt1 Pt 0.000 0.500 0.737
Se1 Se 0.000 0.000 0.427



(4)
# CaTb4Ho (PBE, optimized geometry)
# Polymorph energy (0 for the lowest one)   0.158 eV/atom
# Crystal system   cubic
# ρ   6.7 g/cm3
# Formation energy   0.2175 eV/atom
# D(E_F)   33.421 states/eV per cell
data_CaTb4Ho
_space_group_name_H-M_alt 'F -4 3 m'
_space_group_IT_number 216
_space_group_name_Hall 'F -4 2 3'
_cell_length_a 9.400
_cell_length_b 9.400
_cell_length_c 9.400
_cell_angle_alpha 90.00
_cell_angle_beta 90.00
_cell_angle_gamma 90.00
loop_
_atom_site_label
_atom_site_type_symbol
_atom_site_fract_x
_atom_site_fract_y
_atom_site_fract_z
Ca1 Ca 0.000 0.000 0.000
Tb1 Tb 0.123 0.123 0.623
Ho1 Ho 0.250 0.250 0.250



(5)
# La4NiPt (PBE, optimized geometry)
# Polymorph energy (0 for the lowest one)   0.041 eV/atom
# Crystal system   monoclinic
# ρ   7.1 g/cm3
# Formation energy   -0.4780 eV/atom
# D(E_F)   25.798 states/eV per cell
data_La4NiPt
_space_group_name_H-M_alt 'C 1 2/c 1'
_space_group_IT_number 15
_cell_length_a 8.460
_cell_length_b 15.372
_cell_length_c 7.160
_cell_angle_alpha 90.00
_cell_angle_beta 126.00
_cell_angle_gamma 90.00
loop_
_space_group_symop_operation_xyz
'x,y,z'
'-x,-y,-z'
'-x,y,-z+1/2'
'x,-y,z+1/2'
'x+1/2,y+1/2,z'
'-x+1/2,-y+1/2,-z'
'-x+1/2,y+1/2,-z+1/2'
'x+1/2,-y+1/2,z+1/2'
loop_
_atom_site_label
_atom_site_type_symbol
_atom_site_fract_x
_atom_site_fract_y
_atom_site_fract_z
La1 La 0.224 0.209 0.231
La2 La 0.248 0.046 0.745
Ni1 Ni 0.000 0.085 0.250
Pt1 Pt 0.000 0.408 0.750



(6)
# ZrFePRu2 (PBE, optimized geometry)
# Crystal system   tetragonal
# ρ   7.0 g/cm3
# Formation energy   0.8424 eV/atom
# D(E_F)   6.687 states/eV per cell
data_ZrFePRu2
_space_group_name_H-M_alt 'P 4/m m m'
_space_group_IT_number 123
_space_group_name_Hall '-P 4 2'
_cell_length_a 4.345
_cell_length_b 4.345
_cell_length_c 4.792
_cell_angle_alpha 90.00
_cell_angle_beta 90.00
_cell_angle_gamma 90.00
loop_
_atom_site_label
_atom_site_type_symbol
_atom_site_fract_x
_atom_site_fract_y
_atom_site_fract_z
Zr1 Zr 0.000 0.000 0.000
Fe1 Fe 0.000 0.000 0.500
P1 P 0.500 0.500 0.000
Ru1 Ru 0.000 0.500 0.500